# FeMoO4 (GGA+U, relaxed)
data_FeMoO4
_cell_length_a 9.944
_cell_length_b 9.059
_cell_length_c 7.922
_cell_angle_alpha 90.00
_cell_angle_beta 114.50
_cell_angle_gamma 90.00
_space_group_name_H-M_alt 'C 1 2/m 1'
_space_group_IT_number 12
loop_
_space_group_symop_operation_xyz
'x,y,z'
'-x,-y,-z'
'-x,y,-z'
'x,-y,z'
'x+1/2,y+1/2,z'
'-x+1/2,-y+1/2,-z'
'-x+1/2,y+1/2,-z'
'x+1/2,-y+1/2,z'
loop_
_atom_site_label
_atom_site_type_symbol
_atom_site_fract_x
_atom_site_fract_y
_atom_site_fract_z
Fe1 Fe 0.000 0.195 0.000
Fe2 Fe 0.194 0.000 0.347
Mo1 Mo 0.000 0.211 0.500
Mo2 Mo 0.211 0.000 0.859
O1 O 0.003 0.149 0.736
O2 O 0.149 0.000 0.057
O3 O 0.149 0.000 0.588
O4 O 0.153 0.332 0.576
O5 O 0.167 0.348 0.082
# - E: -7.001 eV/atom